The following is a GGA-PBE calculation of a relaxed Ho2PbAu crystal, from OQMD via LeMat-Bulk.

a = 4.512 Å, b = 6.033 Å, c = 6.033 Å
α = 39.55°, β = 90.00°, γ = 90.00°
Fractional coordinates of all 4 atoms:
Au 0.500 0.095 0.095
Ho 0.500 0.353 0.353
Ho 0.000 0.637 0.637
Pb 0.000 0.914 0.914

Output
Space-group type: Amm2, No. 38

---

The following is a GGA-PBE calculation of a relaxed Gd4GaSbS9 crystal, from OQMD via LeMat-Bulk.

a = 9.964 Å, b = 9.964 Å, c = 13.603 Å
α = 90.00°, β = 90.00°, γ = 88.76°
Fractional coordinates of all 60 atoms:
Ga 0.387 0.176 0.091
Ga 0.887 0.676 0.409
Ga 0.676 0.887 0.591
Ga 0.176 0.387 0.909
Gd 0.838 0.183 0.100
Gd 0.448 0.669 0.104
Gd 0.126 0.458 0.185
Gd 0.128 0.909 0.188
Gd 0.628 0.409 0.312
Gd 0.626 0.958 0.315
Gd 0.948 0.169 0.396
Gd 0.338 0.683 0.400
Gd 0.683 0.338 0.600
Gd 0.169 0.948 0.604
Gd 0.958 0.626 0.685
Gd 0.409 0.628 0.688
Gd 0.909 0.128 0.812
Gd 0.458 0.126 0.815
Gd 0.669 0.448 0.896
Gd 0.183 0.838 0.900
S 0.005 0.005 0.000
S 0.374 0.374 0.000
S 0.994 0.385 0.012
S 0.180 0.688 0.069
S 0.661 0.848 0.082
S 0.663 0.481 0.100
S 0.576 0.179 0.189
S 0.207 0.181 0.198
S 0.391 0.858 0.245
S 0.881 0.997 0.247
S 0.381 0.497 0.253
S 0.891 0.358 0.255
S 0.707 0.681 0.302
S 0.076 0.679 0.311
S 0.163 0.981 0.400
S 0.161 0.348 0.418
S 0.680 0.188 0.431
S 0.494 0.885 0.488
S 0.505 0.505 0.500
S 0.874 0.874 0.500
S 0.885 0.494 0.512
S 0.188 0.680 0.569
S 0.348 0.161 0.582
S 0.981 0.163 0.600
S 0.679 0.076 0.689
S 0.681 0.707 0.698
S 0.358 0.891 0.745
S 0.497 0.381 0.747
S 0.997 0.881 0.753
S 0.858 0.391 0.755
S 0.181 0.207 0.802
S 0.179 0.576 0.811
S 0.481 0.663 0.900
S 0.848 0.661 0.918
S 0.688 0.180 0.931
S 0.385 0.994 0.988
Sb 0.827 0.664 0.113
Sb 0.327 0.164 0.387
Sb 0.164 0.327 0.613
Sb 0.664 0.827 0.887

Output
Space-group type: Aea2, No. 41

---

The following is a GGA-PBE calculation of a relaxed NbTcNiBi crystal, from OQMD via LeMat-Bulk.

a = 4.580 Å, b = 4.580 Å, c = 4.580 Å
α = 60.00°, β = 60.00°, γ = 60.00°
Fractional coordinates of all 4 atoms:
Bi 0.000 0.000 0.000
Nb 0.500 0.500 0.500
Ni 0.750 0.750 0.750
Tc 0.250 0.250 0.250

Output
Space-group type: F-43m, No. 216
ΔE to the lowest computed polymorph (meV/atom): 0

---

The following is a GGA-PBE calculation of a relaxed CuNiBiAu crystal, from OQMD via LeMat-Bulk.

a = 4.643 Å, b = 4.643 Å, c = 4.643 Å
α = 60.00°, β = 60.00°, γ = 60.00°
Fractional coordinates of all 4 atoms:
Au 0.750 0.750 0.750
Bi 0.000 0.000 0.000
Cu 0.250 0.250 0.250
Ni 0.500 0.500 0.500

Output
Space-group type: F-43m, No. 216
ΔE to the lowest computed polymorph (meV/atom): 146

---

The following is a GGA-PBE calculation of a relaxed Hf3Tl2Zn2 crystal, from OQMD via LeMat-Bulk.

a = 8.344 Å, b = 8.344 Å, c = 8.344 Å
α = 33.24°, β = 33.24°, γ = 33.24°
Fractional coordinates of all 7 atoms:
Hf 0.372 0.372 0.372
Hf 0.628 0.628 0.628
Hf 0.879 0.879 0.879
Tl 0.239 0.239 0.239
Tl 0.758 0.758 0.758
Zn 0.005 0.005 0.005
Zn 0.495 0.495 0.495

Output
Space-group type: R3m, No. 160

---

The following is a GGA-PBE calculation of a relaxed ZnHgTeO crystal, from OQMD via LeMat-Bulk.

a = 4.068 Å, b = 4.068 Å, c = 10.066 Å
α = 90.00°, β = 90.00°, γ = 90.00°
Fractional coordinates of all 8 atoms:
Hg 0.750 0.750 0.151
Hg 0.250 0.250 0.849
O 0.750 0.250 0.500
O 0.250 0.750 0.500
Te 0.250 0.250 0.179
Te 0.750 0.750 0.821
Zn 0.250 0.250 0.466
Zn 0.750 0.750 0.534

Output
Space-group type: P4/nmm, No. 129
ΔE to the lowest computed polymorph (meV/atom): 63

---

Number 1: electronic total energy -4.673 eV per atom. Number 2: electronic total energy -5.747 eV per atom. Number 3: electronic total energy -7.221 eV per atom. Number 4: electronic total energy -3.876 eV per atom. Number 5: electronic total energy -5.114 eV per atom. Number 6: electronic total energy -2.951 eV per atom.